Computed, not measured: LiSnBi2Se4 after structural relaxation at the GGA-PBE level of DFT.

## Properties
Space-group type = P2/m, No. 10
Calculated volume = 26.84 Å³/atom
Mass density = 6.65 Mg/m³
Total energy = -3.93 eV per atom

Cell lengths 4.4829, 7.2326, 7.1338 Å; angles 111.81, 90.00, 90.00 degrees
Closest atoms and distances in Å follow each position.
Positions (direct):
Li  0.5000  0.5000  0.0000  6 Se 2.95-3.00
Sn  0.0000  0.0000  0.0000  6 Se 2.98-3.02
Bi  0.5000  0.0000  0.5000  6 Se 3.00-3.03
Bi  0.0000  0.5000  0.5000  6 Se 2.97-3.01
Se  0.5000  0.2528  0.2485  1 Li 2.95, 3 Bi 3.00-3.01, 2 Sn 3.02
Se  0.5000  0.7472  0.7515  1 Li 2.95, 3 Bi 3.00-3.01, 2 Sn 3.02
Se  0.0000  0.2536  0.7528  3 Bi 2.97-3.03, 1 Sn 2.98, 2 Li 3.00
Se  0.0000  0.7464  0.2472  3 Bi 2.97-3.03, 1 Sn 2.98, 2 Li 3.00


Computed, not measured: SbIrPt2 after structural relaxation at the GGA-PBE level of DFT.

## Properties
Space-group type = Immm, No. 71
Calculated volume = 16.89 Å³/atom
Mass density = 17.31 Mg/m³
Total energy = -6.15 eV per atom

Cell lengths 5.5632, 5.5632, 5.5632 Å; angles 149.08, 129.65, 60.27 degrees
Closest atoms and distances in Å follow each position.
Positions (direct):
Ir  0.7500  0.2500  0.5000  4 Sb 2.79, 4 Pt 2.88, 2 Ir 2.97
Pt  0.0060  0.0060  0.0000  2 Sb 2.78, 6 Pt 2.80-2.97, 2 Ir 2.88
Pt  0.4940  0.4940  0.0000  2 Sb 2.78, 6 Pt 2.80-2.97, 2 Ir 2.88
Sb  0.2500  0.7500  0.5000  4 Pt 2.78, 4 Ir 2.79, 2 Sb 2.97


Computed, not measured: La2BeP after structural relaxation at the GGA-PBE level of DFT.

## Properties
Space-group type = F-43m, No. 216
Calculated volume = 22.29 Å³/atom
Mass density = 5.92 Mg/m³
Energy of formation = 0.236 eV per atom

Cell lengths 5.0144, 5.0144, 5.0144 Å; angles 60.00, 60.00, 60.00 degrees
Closest atoms and distances in Å follow each position.
Positions (direct):
P  0.7500  0.7500  0.7500  4 La 3.07, 4 Be 3.07
Be  0.5000  0.5000  0.5000  4 P 3.07, 4 La 3.07
La  0.0000  0.0000  0.0000  4 P 3.07, 4 La 3.07
La  0.2500  0.2500  0.2500  4 La 3.07, 4 Be 3.07


Computed, not measured: ScTiCoCu after structural relaxation at the GGA-PBE level of DFT.

## Properties
Space-group type = F-43m, No. 216
Calculated volume = 14.97 Å³/atom
Mass density = 5.97 Mg/m³
Energy of formation = -0.228 eV per atom

Cell lengths 4.3914, 4.3914, 4.3914 Å; angles 60.00, 60.00, 60.00 degrees
Closest atoms and distances in Å follow each position.
Positions (direct):
Sc  0.2500  0.2500  0.2500  4 Cu 2.69, 4 Co 2.69
Co  0.0000  0.0000  0.0000  4 Sc 2.69, 4 Ti 2.69
Cu  0.5000  0.5000  0.5000  4 Sc 2.69, 4 Ti 2.69
Ti  0.7500  0.7500  0.7500  4 Co 2.69, 4 Cu 2.69


Computed, not measured: Zr2TiIn after structural relaxation at the GGA-PBE level of DFT.

## Properties
Space-group type = R3m, No. 160
Calculated volume = 21.89 Å³/atom
Mass density = 6.54 Mg/m³
Energy of formation = -0.046 eV per atom

Cell lengths 3.1980, 3.1980, 10.0573 Å; angles 80.85, 80.85, 60.00 degrees
Closest atoms and distances in Å follow each position.
Positions (direct):
Zr  0.0877  0.0877  0.7369  3 Ti 2.98, 3 In 3.19, 6 Zr 3.20
Zr  0.2460  0.2460  0.2621  3 Ti 2.99, 3 In 3.18, 6 Zr 3.20
Ti  0.4998  0.4998  0.5005  6 Zr 2.98-2.99, 6 Ti 3.20
In  0.6665  0.6665  0.0004  6 Zr 3.18-3.19, 6 In 3.20


Computed, not measured: BaTlC2O6 after structural relaxation at the GGA-PBE level of DFT.

## Properties
Space-group type = C2/c, No. 15
Calculated volume = 16.00 Å³/atom
Mass density = 4.79 Mg/m³
Total energy = -6.89 eV per atom

Cell lengths 7.0418, 7.0418, 6.8743 Å; angles 103.27, 103.27, 94.32 degrees
Closest atoms and distances in Å follow each position.
Positions (direct):
Ba  0.1462  0.8538  0.2500  8 O 2.73-3.03
Ba  0.8538  0.1462  0.7500  8 O 2.73-3.03
Tl  0.6001  0.3999  0.2500  6 O 2.58-2.61
Tl  0.3999  0.6001  0.7500  6 O 2.58-2.61
C  0.3819  0.1015  0.7414  3 O 1.27-1.33
C  0.8985  0.6181  0.7586  3 O 1.27-1.33
C  0.6181  0.8985  0.2586  3 O 1.27-1.33
C  0.1015  0.3819  0.2414  3 O 1.27-1.33
O  0.9569  0.4870  0.2279  1 C 1.30
O  0.5130  0.0431  0.2721  1 C 1.30
O  0.0431  0.5130  0.7721  1 C 1.30
O  0.4870  0.9569  0.7279  1 C 1.30
O  0.0791  0.1995  0.1493  1 C 1.27
O  0.8005  0.9209  0.3507  1 C 1.27
O  0.9209  0.8005  0.8507  1 C 1.27
O  0.1995  0.0791  0.6493  1 C 1.27
O  0.2774  0.4786  0.3485  1 C 1.33
O  0.5214  0.7226  0.1515  1 C 1.33
O  0.7226  0.5214  0.6515  1 C 1.33
O  0.4786  0.2774  0.8485  1 C 1.33


Computed, not measured: KCo2Te after structural relaxation at the GGA-PBE level of DFT.

## Properties
Space-group type = R-3m, No. 166
Calculated volume = 24.87 Å³/atom
Mass density = 4.75 Mg/m³
Total energy = -4.49 eV per atom

Cell lengths 4.3701, 4.3701, 6.5235 Å; angles 70.42, 70.42, 60.01 degrees
Closest atoms and distances in Å follow each position.
Positions (direct):
Co  0.9247  0.9247  0.2258  3 Te 2.53, 3 Co 2.54
Co  0.5753  0.5753  0.2742  3 Te 2.53, 3 Co 2.54
K  0.7500  0.7500  0.7500  2 Co 3.15
Te  0.2500  0.2500  0.2500  6 Co 2.53


Computed, not measured: CeInNi after structural relaxation at the GGA-PBE level of DFT.

## Properties
Space-group type = P-62m, No. 189
Calculated volume = 21.03 Å³/atom
Mass density = 8.25 Mg/m³
Energy of formation = -0.451 eV per atom

Cell lengths 7.3514, 7.3514, 4.0441 Å; angles 90.00, 90.00, 120.00 degrees
Closest atoms and distances in Å follow each position.
Positions (direct):
Ce  0.0000  0.5840  0.0000  5 Ni 3.00-3.06, 6 In 3.20-3.34
Ce  0.4160  0.4160  0.0000  5 Ni 3.00-3.06, 6 In 3.20-3.34
Ce  0.5840  0.0000  0.0000  5 Ni 3.00-3.06, 6 In 3.20-3.34
In  0.7527  0.7527  0.5000  4 Ni 2.72-2.82
In  0.0000  0.2473  0.5000  4 Ni 2.72-2.82
In  0.2473  0.0000  0.5000  4 Ni 2.72-2.82
Ni  0.3333  0.6667  0.5000  3 In 2.82, 6 Ce 3.00
Ni  0.0000  0.0000  0.0000  6 In 2.72
Ni  0.6667  0.3333  0.5000  3 In 2.82, 6 Ce 3.00


Computed, not measured: HgH12O7 after structural relaxation at the GGA-PBE level of DFT.

## Properties
Space-group type = R-3, No. 148
Calculated volume = 8.75 Å³/atom
Mass density = 3.08 Mg/m³
Total energy = -3.90 eV per atom

Cell lengths 6.1448, 6.1448, 6.1448 Å; angles 62.98, 62.98, 62.98 degrees
Closest atoms and distances in Å follow each position.
Positions (direct):
Hg  0.0000  0.0000  0.0000  6 O 2.62
H  0.7566  0.1792  0.5016  1 O 1.02
H  0.4984  0.2434  0.8208  1 O 1.02
H  0.9283  0.5128  0.5247  1 H 0.75
H  0.4753  0.0717  0.4872  1 H 0.75
H  0.8208  0.4984  0.2434  1 O 1.02
H  0.4872  0.4753  0.0717  1 H 0.75
H  0.5128  0.5247  0.9283  1 H 0.75
H  0.1792  0.5016  0.7566  1 O 1.02
H  0.5247  0.9283  0.5128  1 H 0.75
H  0.0717  0.4872  0.4753  1 H 0.75
H  0.5016  0.7566  0.1792  1 O 1.02
H  0.2434  0.8208  0.4984  1 O 1.02
O  0.4022  0.9395  0.0948  1 H 1.02
O  0.9052  0.5978  0.0605  1 H 1.02
O  0.0605  0.9052  0.5978  1 H 1.02
O  0.5000  0.5000  0.5000  6 H 1.88
O  0.9395  0.0948  0.4022  1 H 1.02
O  0.0948  0.4022  0.9395  1 H 1.02
O  0.5978  0.0605  0.9052  1 H 1.02


Computed, not measured: CsRbAu2 after structural relaxation at the GGA-PBE level of DFT.

## Properties
Space-group type = R-3m, No. 166
Calculated volume = 47.43 Å³/atom
Mass density = 5.36 Mg/m³
Energy of formation = -0.288 eV per atom

Cell lengths 5.1185, 5.1185, 8.8695 Å; angles 73.23, 73.23, 60.00 degrees
Closest atoms and distances in Å follow each position.
Positions (direct):
Cs  0.5000  0.5000  0.5000  6 Au 3.68
Au  0.2538  0.2538  0.2386  3 Rb 3.57, 3 Cs 3.68
Au  0.7462  0.7462  0.7614  3 Rb 3.57, 3 Cs 3.68
Rb  0.0000  0.0000  0.0000  6 Au 3.57


Computed, not measured: Sc2Mn2ZnNi5 after structural relaxation at the GGA-PBE level of DFT.

## Properties
Space-group type = P4/mbm, No. 127
Calculated volume = 13.84 Å³/atom
Mass density = 6.70 Mg/m³
Energy of formation = -0.175 eV per atom

Cell lengths 3.6971, 8.6515, 8.6515 Å; angles 90.00, 90.00, 90.00 degrees
Closest atoms and distances in Å follow each position.
Positions (direct):
Sc  0.0000  0.6782  0.1782  3 Mn 2.47-2.63
Sc  0.0000  0.3218  0.8218  3 Mn 2.47-2.63
Sc  0.0000  0.1782  0.3218  3 Mn 2.47-2.63
Sc  0.0000  0.8218  0.6782  3 Mn 2.47-2.63
Mn  0.0000  0.1198  0.6198  6 Ni 2.36-2.44, 3 Sc 2.47-2.63
Mn  0.0000  0.8802  0.3802  6 Ni 2.36-2.44, 3 Sc 2.47-2.63
Mn  0.0000  0.6198  0.8802  6 Ni 2.36-2.44, 3 Sc 2.47-2.63
Mn  0.0000  0.3802  0.1198  6 Ni 2.36-2.44, 3 Sc 2.47-2.63
Zn  0.0000  0.0000  0.0000  8 Ni 2.62
Zn  0.0000  0.5000  0.5000  8 Ni 2.62
Ni  0.5000  0.2048  0.0647  2 Mn 2.44, 3 Ni 2.61-2.63, 2 Zn 2.62
Ni  0.5000  0.7952  0.9353  2 Mn 2.44, 3 Ni 2.61-2.63, 2 Zn 2.62
Ni  0.5000  0.0647  0.7952  2 Mn 2.44, 3 Ni 2.61-2.63, 2 Zn 2.62
Ni  0.5000  0.7048  0.4353  2 Mn 2.44, 3 Ni 2.61-2.63, 2 Zn 2.62
Ni  0.5000  0.9353  0.2048  2 Mn 2.44, 3 Ni 2.61-2.63, 2 Zn 2.62
Ni  0.5000  0.2952  0.5647  2 Mn 2.44, 3 Ni 2.61-2.63, 2 Zn 2.62
Ni  0.5000  0.5647  0.7048  2 Mn 2.44, 3 Ni 2.61-2.63, 2 Zn 2.62
Ni  0.5000  0.4353  0.2952  2 Mn 2.44, 3 Ni 2.61-2.63, 2 Zn 2.62
Ni  0.5000  0.5000  0.0000  4 Mn 2.36, 4 Ni 2.61
Ni  0.5000  0.0000  0.5000  4 Mn 2.36, 4 Ni 2.61


Computed, not measured: CeY2Au4 after structural relaxation at the GGA-PBE level of DFT.

## Properties
Space-group type = I4/mmm, No. 139
Calculated volume = 25.87 Å³/atom
Mass density = 10.14 Mg/m³
Energy of formation = -0.596 eV per atom

Cell lengths 6.1754, 6.1754, 6.1754 Å; angles 111.59, 108.42, 108.42 degrees
Closest atoms and distances in Å follow each position.
Positions (direct):
Ce  0.0000  0.0000  0.0000  8 Au 3.09
Y  0.5000  0.5000  0.0000  8 Au 3.09
Y  0.5000  0.0000  0.5000  8 Au 3.09
Au  0.5000  0.0000  0.0000  2 Ce 3.09, 4 Y 3.09
Au  0.5000  0.5000  0.5000  2 Ce 3.09, 4 Y 3.09
Au  0.0000  0.0000  0.5000  4 Y 3.09, 2 Ce 3.09
Au  0.0000  0.5000  0.0000  4 Y 3.09, 2 Ce 3.09


- Which of these has the highest mass density?
  SbIrPt2


- Look up the mass density of the first one.
  6.65 Mg/m³


- Among the records above, which one has the lowest mass density?
  HgH12O7